{
  "formula": "SrTlRe",
  "functional": "PBE",
  "state": "relaxed",
  "e_above_lowest_polymorph_ev_per_atom": 0.349,
  "magmom_total_mub_per_cell": 2.1,
  "dft_energy_ev_per_atom": -4.313,
  "ef_mev_per_atom": 1185,
  "sg": "No. 216",
  "dos_at_fermi_per_ev_cell": 5.8,
  "volume_a3_per_atom": 29.078,
  "crystal_system": "cubic",
  "lattice": [[4.9781, 0.0000, 0.0000], [2.4891, 4.3112, 0.0000], [2.4891, 1.4371, 4.0646]],
  "species": ["Re", "Sr", "Tl"],
  "fractional_positions": [[0.7500, 0.7500, 0.7500], [0.0000, 0.0000, 0.0000], [0.5000, 0.5000, 0.5000]]
}

=====

{
  "formula": "PrGa12Ni6",
  "functional": "PBE",
  "state": "relaxed",
  "magmom_total_mub_per_cell": 0.0,
  "dft_energy_ev_per_atom": -4.329,
  "ef_mev_per_atom": -340,
  "sg": "No. 166",
  "dos_at_fermi_per_ev_cell": 8.1,
  "volume_a3_per_atom": 15.640,
  "crystal_system": "trigonal",
  "lattice": [[6.9365, 0.0147, 0.0207], [-1.7052, 6.7237, 0.0207], [-1.7052, -2.1965, 6.3548]],
  "species": ["Pr", "Ga", "Ga", "Ga", "Ga", "Ga", "Ga", "Ga", "Ga", "Ga", "Ga", "Ga", "Ga", "Ni", "Ni", "Ni", "Ni", "Ni", "Ni"],
  "fractional_positions": [[0.0000, 0.0000, 0.0000], [0.8855, 0.1145, 0.5000], [0.8478, 0.5905, 0.5905], [0.5905, 0.5905, 0.8478], [0.4095, 0.1522, 0.4095], [0.4095, 0.4095, 0.1522], [0.1522, 0.4095, 0.4095], [0.1145, 0.5000, 0.8855], [0.5000, 0.8855, 0.1145], [0.1145, 0.8855, 0.5000], [0.8855, 0.5000, 0.1145], [0.5000, 0.1145, 0.8855], [0.5905, 0.8478, 0.5905], [0.7095, 0.2827, 0.2827], [0.2827, 0.2827, 0.7095], [0.2827, 0.7095, 0.2827], [0.7173, 0.7173, 0.2905], [0.2905, 0.7173, 0.7173], [0.7173, 0.2905, 0.7173]]
}

=====

{
  "formula": "Ti4FeRu5",
  "functional": "PBE",
  "state": "relaxed",
  "magmom_total_mub_per_cell": 4.2,
  "dft_energy_ev_per_atom": -9.220,
  "ef_mev_per_atom": -578,
  "sg": "No. 123",
  "dos_at_fermi_per_ev_cell": 2.9,
  "volume_a3_per_atom": 14.422,
  "crystal_system": "tetragonal",
  "lattice": [[3.0766, 0.0000, 0.0000], [0.0000, 3.0766, 0.0000], [0.0000, 0.0000, 15.2369]],
  "species": ["Ti", "Ti", "Ti", "Ti", "Fe", "Ru", "Ru", "Ru", "Ru", "Ru"],
  "fractional_positions": [[0.0000, 0.0000, 0.1935], [0.0000, 0.0000, 0.3978], [0.0000, 0.0000, 0.6022], [0.0000, 0.0000, 0.8065], [0.0000, 0.0000, 0.0000], [0.5000, 0.5000, 0.0970], [0.5000, 0.5000, 0.2982], [0.5000, 0.5000, 0.5000], [0.5000, 0.5000, 0.7018], [0.5000, 0.5000, 0.9030]]
}

=====

{
  "formula": "AlCuW",
  "functional": "PBE",
  "state": "relaxed",
  "e_above_lowest_polymorph_ev_per_atom": 0.000,
  "magmom_total_mub_per_cell": 0.0,
  "dft_energy_ev_per_atom": -6.869,
  "ef_mev_per_atom": 61,
  "sg": "No. 107",
  "dos_at_fermi_per_ev_cell": 1.2,
  "volume_a3_per_atom": 14.296,
  "crystal_system": "tetragonal",
  "lattice": [[-5.7095, -0.1649, 2.1974], [-5.4693, -2.6492, -0.7235], [6.1006, 0.0174, 0.4870]],
  "species": ["Cu", "W", "Al"],
  "fractional_positions": [[0.3389, 0.3389, 0.0000], [0.6684, 0.6684, 0.0000], [0.9927, 0.9927, 0.0000]]
}

=====

{
  "formula": "LiTeP",
  "functional": "PBE",
  "state": "relaxed",
  "e_above_lowest_polymorph_ev_per_atom": 0.068,
  "magmom_total_mub_per_cell": 0.0,
  "dft_energy_ev_per_atom": -3.585,
  "sg": "No. 107",
  "formation_energy_uncorrected_mev_per_atom": -97,
  "dos_at_fermi_per_ev_cell": 0.8,
  "volume_a3_per_atom": 23.498,
  "crystal_system": "tetragonal",
  "lattice": [[-5.0731, -1.3383, 1.3928], [-2.7244, -3.5923, -3.0232], [4.8647, 0.4232, 2.3713]],
  "species": ["Li", "P", "Te"],
  "fractional_positions": [[0.0081, 0.0081, 0.0000], [0.2780, 0.2780, 0.0000], [0.7139, 0.7139, 0.0000]]
}

=====

{
  "formula": "Th6InPb",
  "functional": "PBE",
  "state": "relaxed",
  "magmom_total_mub_per_cell": 0.0,
  "dft_energy_ev_per_atom": -6.530,
  "ef_mev_per_atom": -159,
  "sg": "No. 123",
  "dos_at_fermi_per_ev_cell": 10.2,
  "volume_a3_per_atom": 30.593,
  "crystal_system": "tetragonal",
  "lattice": [[-3.8150, 2.4222, -2.0530], [-3.0824, -3.5951, 1.4864], [-1.5245, 4.8387, 8.5417]],
  "species": ["Th", "Th", "Th", "Th", "Th", "Th", "In", "Pb"],
  "fractional_positions": [[0.5000, 0.5000, 0.0000], [0.5000, 0.5000, 0.5000], [0.5000, 0.0000, 0.2524], [0.5000, 0.0000, 0.7476], [0.0000, 0.5000, 0.2524], [0.0000, 0.5000, 0.7476], [0.0000, 0.0000, 0.5000], [0.0000, 0.0000, 0.0000]]
}